This record from Alexandria via LeMat-Bulk describes an optimized crystal structure of Tl2PtCl. The functional is PBE.

abc: 5.1420 5.1420 5.1420
angles: 60.00 60.00 60.00
Sites, in units of the cell vectors:
Tl  0.2500  0.2500  0.2500
Tl  0.7500  0.7500  0.7500
Pt  0.5000  0.5000  0.5000
Cl  0.0000  0.0000  0.0000

Electronic total energy ... -3.22 eV per atom
SG ... Fm-3m, No. 225
Energy relative to the elements, uncorrected ... -0.063 eV per atom
Crystal system ... cubic



This record from Alexandria via LeMat-Bulk describes an optimized crystal structure of Ir3Ru. The functional is PBE.

abc: 3.8582 3.8582 8.1820
angles: 103.64 103.64 90.00
Sites, in units of the cell vectors:
Ir  0.0000  0.5000  0.0000
Ir  0.1239  0.1239  0.2477
Ir  0.8761  0.8761  0.7523
Ir  0.2500  0.7500  0.5000
Ir  0.7500  0.2500  0.5000
Ir  0.5000  0.0000  0.0000
Ru  0.3738  0.3738  0.7477
Ru  0.6262  0.6262  0.2523

Electronic total energy ... -8.99 eV per atom
SG ... I4/mmm, No. 139
ΔH_f (0 K) ... -0.028 eV/atom
Crystal system ... tetragonal